1.
Below is BiAs3Pt after structural relaxation, with properties calculated at the GGA-PBEsol level.

Structure (extended XYZ):
```
5
Lattice="5.2446 0.0000 0.0000 0.0000 5.2446 0.0000 0.0000 0.0000 5.2446" Properties=species:S:1:pos:R:3 pbc="T T T"
As 0.0000 2.6223 0.0000
As 0.0000 0.0000 2.6223
As 2.6223 0.0000 0.0000
Bi 0.0000 0.0000 0.0000
Pt 2.6223 2.6223 2.6223
```

Calculated values
Magnetic moment = 0.00 μB/f.u.
ΔH_f (0 K) = 1.7523 eV/atom
Volume = 28.85 A^3/atom

2.
Below is RbBi2As after structural relaxation, with properties calculated at the GGA-PBEsol level.

Structure (extended XYZ):
```
8
Lattice="-3.9201 2.4898 4.6719 -6.5551 2.1675 -2.0114 -4.2575 -4.6011 3.5236" Properties=species:S:1:pos:R:3 pbc="T T T"
As -6.3863 -0.5944 1.9241
As -1.9601 1.2449 2.3359
Bi -8.7116 0.5083 0.5463
Bi -5.0411 -1.0746 4.4698
Bi -4.5935 1.5635 1.1174
Bi -11.1192 -0.8849 6.2346
Rb -8.3464 0.6505 4.2600
Rb 0.0000 0.0000 0.0000
```

Calculated values
Magnetic moment = 0.00 μB/f.u.
ΔH_f (0 K) = -0.0025 eV/atom
Volume = 33.65 A^3/atom

3.
Below is RbBiAs3 after structural relaxation, with properties calculated at the GGA-PBEsol level.

Structure (extended XYZ):
```
5
Lattice="-3.8627 -3.1552 2.3438 1.2355 -4.0943 -3.4755 3.7312 -1.9107 3.5772" Properties=species:S:1:pos:R:3 pbc="T T T"
As 0.6177 -2.0472 -1.7378
As 1.8656 -0.9553 1.7886
As -1.9314 -1.5776 1.1719
Bi 0.0000 0.0000 0.0000
Rb 0.5520 -4.5801 1.2227
```

Calculated values
Magnetic moment = 0.01 μB/f.u.
ΔH_f (0 K) = 0.5909 eV/atom
Volume = 33.47 A^3/atom

4.
Below is RbBi2As2 after structural relaxation, with properties calculated at the GGA-PBEsol level.

Structure (extended XYZ):
```
5
Lattice="5.4165 0.0000 0.0000 0.0000 5.4165 0.0000 -2.7083 -2.7083 5.4758" Properties=species:S:1:pos:R:3 pbc="T T T"
As 0.0000 2.7083 2.7379
As 2.7083 0.0000 2.7379
Bi 0.0000 0.0000 3.7926
Bi 2.7083 2.7083 1.6833
Rb 0.0000 0.0000 0.0000
```

Calculated values
Magnetic moment = 0.00 μB/f.u.
ΔH_f (0 K) = -0.1543 eV/atom
Volume = 32.13 A^3/atom